Computed, not measured: an optimized crystal structure of AcY2FeN4 at the GGA-PBE level of DFT.

## Properties
Formation energy from raw total energies = -1.09 eV per atom
Crystal system = orthorhombic
E = -0.6207 Ry per atom

a b c (Å): 3.476 11.686 11.665
angles (deg): 90.00 90.00 90.00
Space group Cmcm (No. 63)
Asymmetric unit:
Ac 0.000 0.103 0.250 [4 per cell]
Y 0.000 0.367 0.045 [8 per cell]
Fe 0.000 0.166 0.750 [4 per cell]
N 0.000 0.000 0.000 [4 per cell]
N 0.000 0.264 0.625 [8 per cell]
N 0.000 0.402 0.250 [4 per cell]